# MnSn3F9 | the Alexandria database | PBE+U | relaxed
# SG: Cc
# Calculated density: 3.979 Mg/m³
# DFT total energy: -5.10 eV/atom
data_MnSn3F9
_chemical_formula_sum 'Mn2 Sn6 F18'
_cell_length_a 7.324
_cell_length_b 8.487
_cell_length_c 9.929
_cell_angle_alpha 63.37
_cell_angle_beta 68.36
_cell_angle_gamma 64.44
_space_group_name_H-M_alt 'P 1'
_space_group_IT_number 1
loop_
_space_group_symop_operation_xyz
'x,y,z'
loop_
_atom_site_label
_atom_site_fract_x
_atom_site_fract_y
_atom_site_fract_z
F1 0.780 0.040 0.837
F2 0.401 0.321 0.921
F3 0.116 0.598 0.109
F4 0.832 0.175 0.072
F5 0.343 0.540 0.337
F6 0.177 0.098 0.609
F7 0.744 0.874 0.314
F8 0.982 0.298 0.209
F9 0.128 0.721 0.798
F10 0.921 0.675 0.572
F11 0.068 0.374 0.814
F12 0.760 0.618 0.948
F13 0.250 0.926 0.137
F14 0.353 0.221 0.298
F15 0.357 0.821 0.421
F16 0.674 0.118 0.448
F17 0.686 0.426 0.637
F18 0.511 0.798 0.709
Sn1 0.522 0.229 0.732
Sn2 0.099 0.440 0.354
Sn3 0.762 0.543 0.771
Sn4 0.517 0.729 0.232
Sn5 0.108 0.940 0.854
Sn6 0.924 0.043 0.271
Mn1 0.083 0.474 0.977
Mn2 0.466 0.974 0.477